No. 1
VASP calculation (GGA-PBE) on a geometry-optimized CaMn2Sb structure.

Density of states at the Fermi level, states/eV per cell: 4.1
SG: I-4m2, No. 119
M_tot, μB/cell: 7.03
Formation energy (no corrections), meV per atom: 188

Cell lengths 5.413, 5.413, 5.413 Å; angles 133.61, 133.61, 67.70 degrees
Element x y z (fractional)
Ca1 0.000 0.000 0.000
Mn1 0.250 0.750 0.500
Mn2 0.500 0.500 0.000
Sb1 0.750 0.250 0.500

=====

No. 2
VASP calculation (GGA-PBE) on a geometry-optimized CaMnSb2 structure.

Density of states at the Fermi level, states/eV per cell: 3.7
SG: R3m, No. 160
M_tot, μB/cell: 3.15
Formation energy (no corrections), meV per atom: 203

Cell lengths 9.677, 9.677, 9.677 Å; angles 21.45, 21.45, 21.45 degrees
Element x y z (fractional)
Ca1 0.000 0.000 0.000
Mn1 0.244 0.244 0.244
Sb1 0.520 0.520 0.520
Sb2 0.756 0.756 0.756

=====

No. 3
VASP calculation (GGA-PBE) on a geometry-optimized CaMnSb structure.

Density of states at the Fermi level, states/eV per cell: 3.1
SG: F-43m, No. 216
M_tot, μB/cell: 3.99
Formation energy (no corrections), meV per atom: -153

Cell lengths 4.758, 4.758, 4.758 Å; angles 60.00, 60.00, 60.00 degrees
Element x y z (fractional)
Ca1 0.000 0.000 0.000
Mn1 0.750 0.750 0.750
Sb1 0.500 0.500 0.500

=====

No. 4
VASP calculation (GGA-PBE) on a geometry-optimized CaMn2Sb structure.

Density of states at the Fermi level, states/eV per cell: 1.7
SG: P4mm, No. 99
M_tot, μB/cell: 6.96
Formation energy (no corrections), meV per atom: 113

Cell lengths 3.468, 3.468, 7.041 Å; angles 90.00, 90.00, 90.00 degrees
Element x y z (fractional)
Ca1 0.000 0.000 0.000
Mn1 0.000 0.000 0.480
Mn2 0.500 0.500 0.296
Sb1 0.500 0.500 0.677